Record 1
## Sm2CdCu3Ge4 (PBE)

Data for a geometry-optimized Sm2CdCu3Ge4 structure.

Properties
Crystal system: tetragonal
Total magnetization (μB/cell): 0.00
Final energy (eV/atom): -4.551

Unit cell a=4.1817 b=4.1817 c=10.6984 alpha=90.00 beta=90.00 gamma=90.00
Closest atoms and distances in Å follow each position.
Fractional positions:
1 Sm 0.5000 0.0000 0.2410  8 Ge 3.17-3.32, 6 Cu 3.20-3.47, 2 Cd 3.47
2 Sm 0.0000 0.5000 0.7590  8 Ge 3.17-3.32, 6 Cu 3.20-3.47, 2 Cd 3.47
3 Cd 0.5000 0.5000 0.5000  4 Ge 2.64, 4 Cu 2.96
4 Cu 0.0000 0.0000 0.5000  4 Ge 2.64, 4 Cd 2.96
5 Cu 0.5000 0.0000 0.8724  5 Ge 2.37-2.50
6 Cu 0.0000 0.5000 0.1276  5 Ge 2.37-2.50
7 Ge 0.5000 0.5000 0.0000  4 Cu 2.50
8 Ge 0.0000 0.0000 0.0000  4 Cu 2.50
9 Ge 0.5000 0.0000 0.6512  3 Cu 2.37-2.64, 2 Cd 2.64
10 Ge 0.0000 0.5000 0.3488  3 Cu 2.37-2.64, 2 Cd 2.64

Record 2
## CdCuSn2Ge (PBE)

Data for a geometry-optimized CdCuSn2Ge structure.

Properties
Crystal system: tetragonal
Total magnetization (μB/cell): 0.00
Final energy (eV/atom): -2.725

Unit cell a=5.4804 b=4.7974 c=5.4804 alpha=90.00 beta=90.00 gamma=90.00
Closest atoms and distances in Å follow each position.
Fractional positions:
1 Ge 0.5000 0.5000 0.5000  8 Sn 3.64, 4 Cu 3.88
2 Sn 0.0000 0.0000 0.5000  2 Cd 2.74
3 Sn 0.5000 0.0000 0.0000  2 Cd 2.74
4 Cu 0.0000 0.5000 0.0000  2 Cd 2.40
5 Cd 0.0000 0.0000 0.0000  2 Cu 2.40

Record 3
## CdCuTcGe2 (PBE)

Data for a geometry-optimized CdCuTcGe2 structure.

Properties
Crystal system: tetragonal
Total magnetization (μB/cell): 3.35
Final energy (eV/atom): -3.284

Unit cell a=4.9839 b=5.2268 c=4.9839 alpha=90.00 beta=90.00 gamma=90.00
Closest atoms and distances in Å follow each position.
Fractional positions:
1 Ge 0.0000 0.0000 0.5000  2 Cd 2.49
2 Ge 0.5000 0.0000 0.0000  2 Cd 2.49
3 Tc 0.0000 0.5000 0.0000  2 Cd 2.61
4 Cu 0.5000 0.5000 0.5000  4 Tc 3.52, 8 Ge 3.61
5 Cd 0.0000 0.0000 0.0000  4 Ge 2.49, 2 Tc 2.61